No. 1
A plane-wave DFT calculation with PBE was carried out for a relaxed structure of Ca8Pt2Rh.

Results
Total DFT energy (no corrections), eV/atom: -3.718
Crystal system: monoclinic

Cell lengths 6.1651, 7.7839, 7.7839 Å; angles 111.76, 100.44, 100.44 degrees
Closest atoms and distances in Å follow each position.
Sites, in units of the cell vectors:
Ca 0.9807 0.7840 0.2081  1 Rh 2.98, 1 Pt 3.29
Ca 0.9807 0.2081 0.7840  1 Rh 2.98, 1 Pt 3.29
Ca 0.5670 0.0761 0.3368  2 Pt 2.88-2.91, 1 Rh 3.03
Rh 0.1732 0.9971 0.9971  8 Ca 2.96-3.16
Ca 0.5670 0.3368 0.0761  2 Pt 2.88-2.91, 1 Rh 3.03
Ca 0.8013 0.6496 0.6496  2 Pt 3.02, 1 Rh 3.16
Pt 0.5000 0.3269 0.6958  6 Ca 2.88-3.09
Ca 0.3730 0.9321 0.6669  2 Pt 2.94, 1 Rh 2.96
Ca 0.1839 0.3606 0.3606  2 Pt 3.09, 1 Rh 3.15
Pt 0.5000 0.6958 0.3269  6 Ca 2.88-3.09
Ca 0.3730 0.6669 0.9321  2 Pt 2.94, 1 Rh 2.96

---

No. 2
A plane-wave DFT calculation with PBE was carried out for a relaxed structure of CaPtRh3.

Results
Energy relative to the lowest polymorph listed for this composition, meV/atom: 968
Crystal system: cubic

Cell lengths 4.6550, 4.6550, 4.6550 Å; angles 90.00, 90.00, 90.00 degrees
Closest atoms and distances in Å follow each position.
Sites, in units of the cell vectors:
Rh 0.0000 0.5000 0.0000  2 Ca 2.33
Ca 0.0000 0.0000 0.0000  6 Rh 2.33
Rh 0.5000 0.0000 0.0000  2 Ca 2.33
Pt 0.5000 0.5000 0.5000  12 Rh 3.29
Rh 0.0000 0.0000 0.5000  2 Ca 2.33

---

No. 3
A plane-wave DFT calculation with PBE was carried out for a relaxed structure of CaPt2Rh2.

Results
Energy relative to the lowest polymorph listed for this composition, meV/atom: 41
Crystal system: tetragonal

Cell lengths 7.7694, 7.7694, 2.8510 Å; angles 90.00, 90.00, 90.00 degrees
Closest atoms and distances in Å follow each position.
Sites, in units of the cell vectors:
Rh 0.3237 0.1763 0.5000  6 Pt 2.61-2.77, 2 Rh 2.85
Pt 0.8757 0.6243 0.0000  6 Rh 2.61-2.77, 3 Pt 2.73-2.85
Pt 0.3757 0.8757 0.0000  6 Rh 2.61-2.77, 3 Pt 2.73-2.85
Pt 0.1243 0.3757 0.0000  6 Rh 2.61-2.77, 3 Pt 2.73-2.85
Rh 0.8237 0.3237 0.5000  6 Pt 2.61-2.77, 2 Rh 2.85
Ca 0.5000 0.5000 0.0000  2 Ca 2.85, 4 Pt 3.07
Ca 0.0000 0.0000 0.0000  2 Ca 2.85, 4 Pt 3.07
Rh 0.6763 0.8237 0.5000  6 Pt 2.61-2.77, 2 Rh 2.85
Pt 0.6243 0.1243 0.0000  6 Rh 2.61-2.77, 3 Pt 2.73-2.85
Rh 0.1763 0.6763 0.5000  6 Pt 2.61-2.77, 2 Rh 2.85